Record 1
# Pm2Ni15Pd2

A relaxed structure of Pm2Ni15Pd2 (GGA-PBE, Alexandria via LeMat-Bulk).

Values from the calculation:
formation energy from the elements = -0.19 eV/atom
electronic total energy = -110.22 eV/cell
SG = No. 166
calculated volume = 252.8 Å³/cell

Lattice parameters (Å, degrees): 6.362 6.362 6.362 83.46 83.46 83.46
Element x y z (fractional)
1 Ni 0.000 0.295 0.705
2 Pd 0.106 0.106 0.106
3 Ni 0.500 0.000 0.000
4 Ni 0.347 0.347 0.842
5 Ni 0.000 0.500 0.000
6 Ni 0.653 0.653 0.158
7 Ni 0.295 0.705 0.000
8 Ni 0.158 0.653 0.653
9 Ni 0.653 0.158 0.653
10 Ni 0.705 0.295 0.000
11 Ni 0.705 0.000 0.295
12 Pd 0.894 0.894 0.894
13 Ni 0.000 0.000 0.500
14 Ni 0.842 0.347 0.347
15 Ni 0.295 0.000 0.705
16 Pm 0.656 0.656 0.656
17 Ni 0.000 0.705 0.295
18 Ni 0.347 0.842 0.347
19 Pm 0.344 0.344 0.344


Record 2
# PmNiPd

A relaxed structure of PmNiPd (GGA-PBE, Alexandria via LeMat-Bulk).

Values from the calculation:
formation energy from the elements = -0.52 eV/atom
electronic total energy = -17.27 eV/cell
SG = No. 187
energy above the lowest structure with this stoichiometry = 0.0399 eV/atom
calculated volume = 60.4 Å³/cell

Lattice parameters (Å, degrees): 3.818 4.275 4.275 120.00 90.00 90.00
Element x y z (fractional)
1 Pd 0.167 0.000 0.000
2 Ni 0.167 0.667 0.333
3 Pm 0.667 0.333 0.667